1.
A relaxed structure of Cs2NbCd2O6, computed with PBE.

```
Cs2NbCd2O6
1.0
-1.6775 4.1653 3.7007
0.9289 -5.2814 2.2591
6.9273 2.1092 -1.2969
Cs Nb Cd O
2 1 2 6
Direct
0.8255 0.1745 0.0000 Cs
0.1745 0.8255 0.0000 Cs
0.0000 0.0000 0.5000 Nb
0.3352 0.6648 0.5000 Cd
0.6648 0.3352 0.5000 Cd
0.7620 0.7620 0.6478 O
0.0426 0.3406 0.6688 O
0.2380 0.2380 0.3522 O
0.3406 0.0426 0.6688 O
0.9574 0.6594 0.3312 O
0.6594 0.9574 0.3312 O
```

- density (g cm⁻³) = 5.39
- uncorrected energy (eV/atom) = -5.4469
- N(E_F) (states/eV per cell) = 3.44
- E_form (uncorrected) (eV per atom) = -1.51

=====

2.
A relaxed structure of ZrSi2SeO, computed with PBE.

```
ZrSi2SeO
1.0
5.2104 0.0000 0.0000
0.0000 5.0618 0.0000
0.0000 0.0000 5.2104
O Si Se Zr
1 2 1 1
Direct
0.5000 0.5000 0.5000 O
0.0000 0.0000 0.5000 Si
0.5000 0.0000 0.0000 Si
0.0000 0.5000 0.0000 Se
0.0000 0.0000 0.0000 Zr
```

- density (g cm⁻³) = 2.93
- uncorrected energy (eV/atom) = -4.7004
- N(E_F) (states/eV per cell) = 5.16
- E_form (uncorrected) (eV per atom) = 0.87

=====

3.
A relaxed structure of CsGa3F, computed with PBE.

```
CsGa3F
1.0
5.2353 0.0000 0.0000
0.0000 5.2353 0.0000
0.0000 0.0000 5.2353
Cs Ga F
1 3 1
Direct
0.5000 0.5000 0.5000 Cs
0.0000 0.5000 0.0000 Ga
0.0000 0.0000 0.5000 Ga
0.5000 0.0000 0.0000 Ga
0.0000 0.0000 0.0000 F
```

- density (g cm⁻³) = 4.18
- uncorrected energy (eV/atom) = -2.6065
- E above lowest polymorph (meV per atom) = 0
- N(E_F) (states/eV per cell) = 4.02
- E_form (uncorrected) (eV per atom) = -0.25